No. 1
A plane-wave DFT calculation with PBE was carried out for LiAcNdEr after structural relaxation.

DFT formation energy in meV/atom: 250

Lattice parameters (Å, degrees): 5.7486 5.7486 5.7486 60.00 60.00 60.00
Last column: nearest neighbours and their distance in Å.
Atoms (fractional coordinates):
Er 0.7500 0.7500 0.7500  4 Ac 3.52, 4 Li 3.52
Li 0.0000 0.0000 0.0000  4 Er 3.52, 4 Nd 3.52
Nd 0.2500 0.2500 0.2500  4 Ac 3.52, 4 Li 3.52
Ac 0.5000 0.5000 0.5000  4 Nd 3.52, 4 Er 3.52

=====

No. 2
A plane-wave DFT calculation with PBE was carried out for ErMn2Ge2C after structural relaxation.

DFT formation energy in meV/atom: -335

Lattice parameters (Å, degrees): 3.9134 3.9134 5.4212 90.00 90.00 90.00
Last column: nearest neighbours and their distance in Å.
Atoms (fractional coordinates):
Mn 0.0000 0.5000 0.0000  2 C 1.96
Ge 0.5000 0.5000 0.7248  1 Ge 2.44, 4 Mn 2.46
Er 0.0000 0.0000 0.5000  2 C 2.71, 8 Ge 3.02
Mn 0.5000 0.0000 0.0000  2 C 1.96
Ge 0.5000 0.5000 0.2752  1 Ge 2.44, 4 Mn 2.46
C 0.0000 0.0000 0.0000  4 Mn 1.96

=====

No. 3
A plane-wave DFT calculation with PBE was carried out for SrLiFeN2 after structural relaxation.

Raw formation energy in kJ per mole of atoms: -35.70

Lattice parameters (Å, degrees): 4.6103 6.0143 4.9111 90.00 90.00 112.54
Last column: nearest neighbours and their distance in Å.
Atoms (fractional coordinates):
Sr 0.7500 0.5000 0.7620  6 N 2.66-2.81
Fe 0.7500 0.0000 0.0000  4 N 1.91
Sr 0.2500 0.5000 0.2380  6 N 2.66-2.81
N 0.1062 0.2124 0.8058  2 Fe 1.91, 1 Li 1.91
Li 0.0000 0.0000 0.5000  2 N 1.91
N 0.8938 0.7876 0.1942  2 Fe 1.91, 1 Li 1.91
N 0.3938 0.7876 0.8058  2 Fe 1.91, 1 Li 1.91
Fe 0.2500 0.0000 0.0000  4 N 1.91
N 0.6062 0.2124 0.1942  2 Fe 1.91, 1 Li 1.91
Li 0.5000 0.0000 0.5000  2 N 1.91

=====

No. 4
A plane-wave DFT calculation with PBE was carried out for Ho7Tl4Cd after structural relaxation.

DFT formation energy in meV/atom: -40

Lattice parameters (Å, degrees): 5.6550 9.2926 7.7641 80.43 68.64 72.29
Last column: nearest neighbours and their distance in Å.
Atoms (fractional coordinates):
Ho 0.3403 0.5905 0.7288  5 Tl 3.03-3.36
Ho 0.7850 0.8717 0.5583  4 Tl 3.12-3.30, 2 Ho 3.30-3.46
Tl 0.4305 0.7769 0.3621  8 Ho 3.03-3.36
Ho 0.9299 0.3263 0.8140  1 Cd 3.11, 5 Tl 3.12-3.42, 2 Ho 3.30-3.43
Tl 0.7084 0.6618 0.9214  8 Ho 3.08-3.42, 1 Tl 3.41
Cd 0.0000 0.0000 0.0000  4 Ho 2.83-3.11
Tl 0.5695 0.2231 0.6379  8 Ho 3.03-3.36
Ho 0.5000 0.0000 0.0000  2 Cd 2.83, 2 Tl 3.08
Ho 0.0701 0.6737 0.1860  1 Cd 3.11, 5 Tl 3.12-3.42, 2 Ho 3.30-3.43
Ho 0.2150 0.1283 0.4417  4 Tl 3.12-3.30, 2 Ho 3.30-3.46
Tl 0.2916 0.3382 0.0786  8 Ho 3.08-3.42, 1 Tl 3.41
Ho 0.6597 0.4095 0.2712  5 Tl 3.03-3.36

=====

No. 5
A plane-wave DFT calculation with PBE was carried out for LiMnBiI2 after structural relaxation.

Raw formation energy in kJ per mole of atoms: 23.39

Lattice parameters (Å, degrees): 6.5871 5.2110 6.5871 90.00 90.00 90.00
Last column: nearest neighbours and their distance in Å.
Atoms (fractional coordinates):
Mn 0.0000 0.5000 0.0000  2 Bi 2.61
I 0.0000 0.0000 0.5000  2 Bi 3.29
Bi 0.0000 0.0000 0.0000  2 Mn 2.61
Li 0.5000 0.5000 0.5000  8 I 4.20, 4 Mn 4.66
I 0.5000 0.0000 0.0000  2 Bi 3.29

=====

No. 6
A plane-wave DFT calculation with PBE was carried out for Mn2GeHN after structural relaxation.

Total DFT energy (no corrections) in eV/atom: -6.90

Lattice parameters (Å, degrees): 2.6563 2.6854 6.5705 90.00 101.36 90.00
Last column: nearest neighbours and their distance in Å.
Atoms (fractional coordinates):
N 0.9740 0.5000 0.2259  6 Mn 1.97-2.04
Mn 0.3643 0.5000 0.0000  2 H 1.75
Ge 0.1662 0.0000 0.6629  2 H 2.19-2.37
Mn 0.5119 0.0000 0.3342  4 N 1.99-2.04
H 0.7481 0.0000 0.9504  2 Mn 1.75

=====

No. 7
A plane-wave DFT calculation with PBE was carried out for SiHF6 after structural relaxation.

Total DFT energy (no corrections) in eV/atom: -4.73

Lattice parameters (Å, degrees): 5.3499 5.0495 6.8880 45.76 45.30 60.01
Last column: nearest neighbours and their distance in Å.
Atoms (fractional coordinates):
F 0.4164 0.2153 0.6349  1 H 1.15
F 0.1809 0.6026 0.0283  1 Si 1.67
F 0.8191 0.3974 0.9717  1 Si 1.67
Si 0.0000 0.0000 0.0000  6 F 1.67-1.79
H 0.5000 0.5000 0.5000  2 F 1.15
F 0.1012 0.8901 0.2300  1 Si 1.67
F 0.5836 0.7847 0.3651  1 H 1.15
F 0.8988 0.1099 0.7700  1 Si 1.67

=====

No. 8
A plane-wave DFT calculation with PBE was carried out for CaBeRh after structural relaxation.

DFT formation energy in meV/atom: 865

Lattice parameters (Å, degrees): 4.4535 4.4535 4.4535 60.00 60.00 60.00
Last column: nearest neighbours and their distance in Å.
Atoms (fractional coordinates):
Ca 0.2500 0.2500 0.2500  4 Be 2.73, 4 Rh 2.73
Rh 0.0000 0.0000 0.0000  4 Ca 2.73
Be 0.5000 0.5000 0.5000  4 Ca 2.73

=====

No. 9
A plane-wave DFT calculation with PBE was carried out for Pr4Dy6Y after structural relaxation.

DFT formation energy in meV/atom: 441

Lattice parameters (Å, degrees): 7.7401 7.7401 8.5689 116.85 116.85 90.00
Last column: nearest neighbours and their distance in Å.
Atoms (fractional coordinates):
Dy 0.9263 0.4421 0.3683  2 Pr 3.23-3.56, 1 Y 3.59
Dy 0.4421 0.9263 0.3683  2 Pr 3.23-3.56, 1 Y 3.59
Dy 0.0000 0.5000 0.0000  4 Pr 3.03
Pr 0.9008 0.9008 0.1536  3 Dy 3.03-3.23
Dy 0.5579 0.5579 0.6317  2 Pr 3.23-3.56, 1 Y 3.59
Pr 0.0992 0.7472 0.8464  3 Dy 3.03-3.23
Pr 0.2528 0.2528 0.1536  3 Dy 3.03-3.23
Pr 0.7472 0.0992 0.8464  3 Dy 3.03-3.23
Y 0.5000 0.5000 0.0000  8 Dy 3.59-3.87, 4 Pr 3.69
Dy 0.5000 0.0000 0.0000  4 Pr 3.03
Dy 0.0737 0.0737 0.6317  2 Pr 3.23-3.56, 1 Y 3.59

=====

No. 10
A plane-wave DFT calculation with PBE was carried out for Nd2Y8Th3 after structural relaxation.

DFT formation energy in meV/atom: 164

Lattice parameters (Å, degrees): 5.6831 6.8198 12.0683 106.41 103.59 90.00
Last column: nearest neighbours and their distance in Å.
Atoms (fractional coordinates):
Th 0.0000 0.2676 0.0000  3 Th 3.17-3.38, 2 Y 3.33
Th 0.5000 0.0000 0.0000  4 Th 3.38
Y 0.1486 0.8891 0.2964  6 Y 3.29-3.67, 1 Th 3.33, 1 Nd 3.36
Y 0.3210 0.8213 0.6426  4 Y 3.42, 4 Nd 3.56-3.58
Y 0.5755 0.5753 0.1506  1 Nd 3.35, 5 Y 3.38-3.67, 4 Th 3.66-3.67
Nd 0.2754 0.2754 0.5509  11 Y 3.35-3.70
Y 0.1486 0.4073 0.2964  6 Y 3.29-3.67, 1 Th 3.33, 1 Nd 3.36
Y 0.4245 0.4247 0.8494  1 Nd 3.35, 5 Y 3.38-3.67, 4 Th 3.66-3.67
Y 0.8514 0.1109 0.7036  6 Y 3.29-3.67, 1 Th 3.33, 1 Nd 3.36
Y 0.8514 0.5927 0.7036  6 Y 3.29-3.67, 1 Th 3.33, 1 Nd 3.36
Y 0.6790 0.1787 0.3574  4 Y 3.42, 4 Nd 3.56-3.58
Th 0.0000 0.7324 0.0000  3 Th 3.17-3.38, 2 Y 3.33
Nd 0.7246 0.7246 0.4491  11 Y 3.35-3.70

=====

No. 11
A plane-wave DFT calculation with PBE was carried out for TmTl2GaCl6 after structural relaxation.

Raw formation energy in kJ per mole of atoms: -143.10

Lattice parameters (Å, degrees): 7.6874 7.6884 7.7682 60.33 60.35 59.99
Last column: nearest neighbours and their distance in Å.
Atoms (fractional coordinates):
Cl 0.1759 0.0049 0.2576  1 Tm 2.60
Cl 0.4610 0.6441 0.7844  1 Tm 2.64, 1 Ga 2.94
Cl 0.5617 0.1760 0.2574  1 Tm 2.60
Tl 0.5386 0.5387 0.3841  6 Cl 3.29-3.30
Ga 0.8130 0.8130 0.5611  6 Cl 2.94-3.11
Cl 0.1104 0.4610 0.7844  1 Tm 2.64, 1 Ga 2.94
Cl 0.6442 0.1101 0.7846  1 Tm 2.64, 1 Ga 2.94
Tm 0.3208 0.3207 0.0379  6 Cl 2.60-2.64
Cl 0.0048 0.5619 0.2573  1 Tm 2.60
Tl 0.0312 0.0312 0.9064  6 Cl 3.24-3.31

=====

No. 12
A plane-wave DFT calculation with PBE was carried out for RePtCl2 after structural relaxation.

Raw formation energy in kJ per mole of atoms: 55.79

Lattice parameters (Å, degrees): 9.3001 9.3001 9.3001 18.17 18.17 18.17
Last column: nearest neighbours and their distance in Å.
Atoms (fractional coordinates):
Cl 0.0990 0.0990 0.0990  3 Re 2.51, 1 Pt 2.72
Pt 0.0000 0.0000 0.0000  2 Cl 2.72, 6 Pt 2.94
Re 0.5000 0.5000 0.5000  6 Cl 2.51
Cl 0.9010 0.9010 0.9010  3 Re 2.51, 1 Pt 2.72